Computed, not measured: a relaxed LaPr2HoEr2 crystal at the GGA-PBE level of DFT.

Results
magnetization	0.0007	μB/atom
calculated formation energy	0.389	eV/f.u.
V	401.8	Å³ per cell
D(E_F)	1.51	states/eV/atom
mass density	7.607	g/cm3

abc: 5.7055 9.9415 7.0830
angles: 90.00 90.00 90.00
Positions (direct):
1 La 0.0000 0.0000 0.0000
2 La 0.5000 0.5000 0.5000
3 Pr 0.5000 0.8331 0.2542
4 Pr 0.5000 0.1669 0.7458
5 Pr 0.0000 0.6669 0.7542
6 Pr 0.0000 0.3331 0.2458
7 Ho 0.5000 0.5000 0.0000
8 Ho 0.0000 0.0000 0.5000
9 Er 0.5000 0.1666 0.2494
10 Er 0.0000 0.6666 0.2506
11 Er 0.5000 0.8334 0.7506
12 Er 0.0000 0.3334 0.7494